First-principles (GGA-PBE) data for an optimized crystal structure of Pu2MnFe3B12, as listed in the Alexandria database.

The structure in CIF format:
```
data_Pu2MnFe3B12
_symmetry_space_group_name_H-M 'P 1'
_symmetry_Int_Tables_number 1
_symmetry_space_group_name_Hall 'P 1'
_cell_length_a 8.0070
_cell_length_b 8.0070
_cell_length_c 8.0070
_cell_angle_alpha 39.20
_cell_angle_beta 39.20
_cell_angle_gamma 39.20
loop_
_atom_site_label
_atom_site_fract_x
_atom_site_fract_y
_atom_site_fract_z
B1 0.3464 0.3464 0.0232
B2 0.0516 0.6780 0.0516
B3 0.9484 0.9484 0.3220
B4 0.6780 0.0516 0.0516
B5 0.0516 0.0516 0.6780
B6 0.9768 0.6536 0.6536
B7 0.3220 0.9484 0.9484
B8 0.6536 0.6536 0.9768
B9 0.6536 0.9768 0.6536
B10 0.3464 0.0232 0.3464
B11 0.9484 0.3220 0.9484
B12 0.0232 0.3464 0.3464
Mn1 0.0000 0.0000 0.0000
Pu1 0.6403 0.6403 0.6403
Pu2 0.3597 0.3597 0.3597
Fe1 0.0000 0.5000 0.0000
Fe2 0.5000 0.0000 0.0000
Fe3 0.0000 0.0000 0.5000
```

Calculated values
SG ... No. 166
DFT formation energy ... 0.06 eV per atom
E ... -7.91 eV/atom
Calculated volume ... 10.251 Å³/atom